Crystalline NaTl2Au at its relaxed geometry. Source: the Alexandria database, functional PBE-GGA. Values from VASP.

Geometry as Quantum ESPRESSO input:
```
&SYSTEM
  ibrav = 0, nat = 8, ntyp = 3
/
ATOMIC_SPECIES
Na 22.99 Na.upf
Tl 204.38 Tl.upf
Au 196.97 Au.upf
CELL_PARAMETERS angstrom
-4.309 4.309 3.102
4.309 -4.309 3.102
4.309 4.309 -3.102
ATOMIC_POSITIONS angstrom
Na 0.000 0.000 0.000
Na 0.000 4.309 1.551
Tl 2.154 -1.744 2.327
Tl 2.564 2.154 0.776
Tl 2.154 6.053 -0.776
Tl 1.744 2.154 3.878
Au 4.309 0.000 1.551
Au 0.000 0.000 3.102
```

Values from the calculation:
electronic total energy = -2.421 eV per atom
spin magnetization = 0.00 μB/cell
E_form = -88 meV per atom